Entry 1:
Computed, not measured: a relaxed structure of Zn2TeF at the PBE-GGA level of DFT.

Properties
Formation energy without anion corrections (meV per atom): -574
Density of states at the Fermi level (states/eV per cell): 1.7
Excess energy over the best structure of this formula in the dataset (kJ/mol of formula units): 54
Symmetry: Fm-3m
Raw total energy (eV per atom): -2.46

Structure (POSCAR):
```
Zn2TeF
1.0
0.000 3.293 3.293
3.293 0.000 3.293
3.293 3.293 0.000
Zn Te F
2 1 1
direct
0.250 0.250 0.250 Zn
0.750 0.750 0.750 Zn
0.000 0.000 0.000 Te
0.500 0.500 0.500 F
```

Entry 2:
Computed, not measured: a relaxed structure of LaZrFe2 at the PBE-GGA level of DFT.

Properties
Density of states at the Fermi level (states/eV per cell): 4.7
Formation energy (meV per atom): 116
Symmetry: P4/mmm
Raw total energy (eV per atom): -7.48

Structure (POSCAR):
```
LaZrFe2
1.0
3.432 0.000 0.000
0.000 3.432 0.000
0.000 0.000 6.808
La Zr Fe
1 1 2
direct
0.000 0.000 0.000 La
0.000 0.000 0.500 Zr
0.500 0.500 0.312 Fe
0.500 0.500 0.688 Fe
```

- What is the raw total energy in the first record?
  -2.46 eV per atom

- Among the records above, which one has the lowest raw total energy?
  LaZrFe2